## NaLi2ErBr6 (PBE)

Data for a relaxed structure of NaLi2ErBr6.

Unit cell a=7.0684 b=7.0684 c=19.5043 alpha=90.00 beta=90.00 gamma=120.00
Space group R3 (No. 146, hexagonal axes)
Inequivalent atoms, fractional coordinates:
Na 0.0000 0.0000 0.0000 x3
Li 0.0000 0.0000 0.3000 x3
Li 0.0000 0.0000 0.8051 x3
Er 0.0000 0.0000 0.4904 x3
Br 0.0021 0.3250 0.8958 x9
Br 0.0128 0.6350 0.0660 x9

energy relative to the elements, uncorrected: -1.66 eV per atom
V: 844 Å³/cell
size of the total moment: 0.000 μB/cell

## Sr2Tl8Ga (PBE)

Data for a relaxed structure of Sr2Tl8Ga.

Unit cell a=5.1187 b=5.1187 c=12.8094 alpha=90.00 beta=90.00 gamma=90.00
Space group P4/mmm (No. 123)
Inequivalent atoms, fractional coordinates:
Sr 0.0000 0.0000 0.1898 x2
Tl 0.0000 0.5000 0.0000 x2
Tl 0.0000 0.5000 0.3701 x4
Tl 0.5000 0.5000 0.1864 x2
Ga 0.0000 0.0000 0.5000 x1

ΔH_f (0 K): -0.166 eV per atom
V: 336 Å³/cell
size of the total moment: 0.000 μB/cell

## BaAcZn2 (PBE)

Data for a relaxed structure of BaAcZn2.

Unit cell a=4.2044 b=4.2044 c=28.2062 alpha=90.00 beta=90.00 gamma=120.00
Space group R-3m (No. 166, hexagonal axes)
Inequivalent atoms, fractional coordinates:
Ba 0.0000 0.0000 0.0000 x3
Ac 0.0000 0.0000 0.5000 x3
Zn 0.0000 0.0000 0.2456 x6

ΔH_f (0 K): 0.004 eV per atom
V: 432 Å³/cell
size of the total moment: 0.000 μB/cell

## Sr2MnIr (PBE)

Data for a relaxed structure of Sr2MnIr.

Unit cell a=3.5545 b=3.5545 c=8.9249 alpha=90.00 beta=90.00 gamma=90.00
Space group P4mm (No. 99)
Inequivalent atoms, fractional coordinates:
Sr 0.0000 0.0000 0.0000 x1
Sr 0.5000 0.5000 0.4103 x1
Mn 0.5000 0.5000 0.7421 x1
Ir 0.0000 0.0000 0.6585 x1

ΔH_f (0 K): 0.147 eV per atom
V: 113 Å³/cell
size of the total moment: 3.907 μB/cell
distance to the lowest polymorph of the same formula: 115 meV/atom

## EuGdHoTh (PBE)

Data for a relaxed structure of EuGdHoTh.

Unit cell a=8.1361 b=8.1361 c=8.1361 alpha=90.00 beta=90.00 gamma=90.00
Space group F-43m (No. 216)
Inequivalent atoms, fractional coordinates:
Eu 0.0000 0.0000 0.0000 x4
Gd 0.2500 0.2500 0.7500 x4
Ho 0.2500 0.2500 0.2500 x4
Th 0.0000 0.0000 0.5000 x4

ΔH_f (0 K): 0.206 eV per atom
V: 539 Å³/cell
size of the total moment: 59.041 μB/cell

## Ag2Pd6N (PBE)

Data for a relaxed structure of Ag2Pd6N.

Unit cell a=5.7620 b=5.7620 c=8.2019 alpha=90.00 beta=90.00 gamma=90.00
Space group I4/mmm (No. 139)
Inequivalent atoms, fractional coordinates:
Ag 0.0000 0.5000 0.2500 x4
Pd 0.0000 0.0000 0.2454 x4
Pd 0.2451 0.2451 0.0000 x8
N 0.0000 0.0000 0.5000 x2

energy relative to the elements, uncorrected: 0.08 eV per atom
V: 272 Å³/cell
size of the total moment: 0.000 μB/cell

Number 1: E -3.633 eV per atom. Number 2: E -2.468 eV per atom. Number 3: E -2.141 eV per atom. Number 4: E -5.202 eV per atom. Number 5: E -8.882 eV per atom. Number 6: E -4.944 eV per atom.